Here is a relaxed CdWCl2 crystal from the Alexandria database. Energies are from PBE.

final energy = -3.363 eV/atom
density of states at the Fermi level = 4.710 states/eV/cell
ρ = 7.11 g/cm³
energy relative to the lowest polymorph listed for this composition = 1100 meV/atom
ΔE_f (raw) = 1028 meV/atom

a = 4.950 Å, b = 4.950 Å, c = 4.950 Å
α = 60.00°, β = 60.00°, γ = 60.00°
Fractional coordinates of all 4 atoms:
Cd: 0.000 0.000 0.000
W: 0.750 0.750 0.750
Cl: 0.250 0.250 0.250
Cl: 0.500 0.500 0.500


Here is a relaxed BaTaSi3 crystal from the Alexandria database. Energies are from PBE.

final energy = -3.503 eV/atom
density of states at the Fermi level = 6.370 states/eV/cell
ρ = 4.73 g/cm³
energy relative to the lowest polymorph listed for this composition = 2580 meV/atom
ΔE_f (raw) = 2506 meV/atom

a = 5.209 Å, b = 5.209 Å, c = 5.209 Å
α = 90.00°, β = 90.00°, γ = 90.00°
Fractional coordinates of all 5 atoms:
Ba: 0.000 0.000 0.000
Ta: 0.500 0.500 0.500
Si: 0.000 0.000 0.500
Si: 0.000 0.500 0.000
Si: 0.500 0.000 0.000


Here is a relaxed La2W crystal from the Alexandria database. Energies are from PBE.

final energy = -7.273 eV/atom
density of states at the Fermi level = 6.363 states/eV/cell
ρ = 8.90 g/cm³
calculated formation energy = 0.329 eV per atom
energy relative to the lowest polymorph listed for this composition = 0 meV/atom

a = 6.317 Å, b = 6.317 Å, c = 8.500 Å
α = 109.41°, β = 109.41°, γ = 32.79°
Fractional coordinates of all 6 atoms:
La: 0.004 0.004 0.212
La: 0.325 0.325 0.363
La: 0.675 0.675 0.637
La: 0.996 0.996 0.788
W: 0.306 0.306 0.951
W: 0.694 0.694 0.049